# La2Ho4Th

A relaxed structure of La2Ho4Th (PBE-GGA, Alexandria via LeMat-Bulk).

The structure in CIF format:
```
data_La2Ho4Th
_cell_length_a 5.7059
_cell_length_b 5.7059
_cell_length_c 17.2161
_cell_angle_alpha 90.00
_cell_angle_beta 90.00
_cell_angle_gamma 90.00
_symmetry_space_group_name_H-M 'I 4/m m m'
_symmetry_Int_Tables_number 139
_symmetry_space_group_name_Hall '-I 4 2'
loop_
_atom_site_label
_atom_site_type_symbol
_atom_site_fract_x
_atom_site_fract_y
_atom_site_fract_z
La1 La 0.0000 0.0000 0.1198
Ho1 Ho 0.0000 0.0000 0.3224
Ho2 Ho 0.0000 0.5000 0.0000
Th1 Th 0.0000 0.0000 0.5000
```

Summary:
Its total magnetization is 0.00 μB/f.u. The volume is 560.5 Å³ per cell. The calculation puts the total energy at -61.14 eV for the cell shown.

=====

# La8Ho2Th3

A relaxed structure of La8Ho2Th3 (PBE-GGA, Alexandria via LeMat-Bulk).

The structure in CIF format:
```
data_La8Ho2Th3
_cell_length_a 10.0570
_cell_length_b 11.1230
_cell_length_c 8.9095
_cell_angle_alpha 90.00
_cell_angle_beta 112.81
_cell_angle_gamma 90.00
_symmetry_space_group_name_H-M 'C 1 2/m 1'
_symmetry_Int_Tables_number 12
loop_
_symmetry_equiv_pos_as_xyz
'x,y,z'
'-x,-y,-z'
'-x,y,-z'
'x,-y,z'
'x+1/2,y+1/2,z'
'-x+1/2,-y+1/2,-z'
'-x+1/2,y+1/2,-z'
'x+1/2,-y+1/2,z'
loop_
_atom_site_label
_atom_site_type_symbol
_atom_site_fract_x
_atom_site_fract_y
_atom_site_fract_z
La1 La 0.0855 0.0000 0.3361
La2 La 0.1057 0.5000 0.2229
La3 La 0.1629 0.2417 0.6850
Ho1 Ho 0.2373 0.0000 0.0494
Th1 Th 0.0000 0.2385 0.0000
Th2 Th 0.0000 0.5000 0.5000
```

Summary:
Its total magnetization is 0.00 μB/f.u. The volume is 918.7 Å³ per cell. The calculation puts the total energy at -136.34 eV for the cell shown.

=====

# La4Ho3Th2

A relaxed structure of La4Ho3Th2 (PBE-GGA, Alexandria via LeMat-Bulk).

The structure in CIF format:
```
data_La4Ho3Th2
_cell_length_a 16.4815
_cell_length_b 11.9736
_cell_length_c 6.2448
_cell_angle_alpha 90.00
_cell_angle_beta 98.20
_cell_angle_gamma 90.00
_symmetry_space_group_name_H-M 'C 1 2/c 1'
_symmetry_Int_Tables_number 15
loop_
_symmetry_equiv_pos_as_xyz
'x,y,z'
'-x,-y,-z'
'-x,y,-z+1/2'
'x,-y,z+1/2'
'x+1/2,y+1/2,z'
'-x+1/2,-y+1/2,-z'
'-x+1/2,y+1/2,-z+1/2'
'x+1/2,-y+1/2,z+1/2'
loop_
_atom_site_label
_atom_site_type_symbol
_atom_site_fract_x
_atom_site_fract_y
_atom_site_fract_z
La1 La 0.0530 0.1381 0.0188
La2 La 0.2158 0.3783 0.8491
Ho1 Ho 0.0000 0.3926 0.7500
Ho2 Ho 0.1715 0.1199 0.5790
Th1 Th 0.1053 0.3629 0.3111
```

Summary:
Its total magnetization is 0.00 μB/f.u. The volume is 1219.8 Å³ per cell. The calculation puts the total energy at -189.09 eV for the cell shown.

=====

# LaHoThTl

A relaxed structure of LaHoThTl (PBE-GGA, Alexandria via LeMat-Bulk).

The structure in CIF format:
```
data_LaHoThTl
_cell_length_a 7.9242
_cell_length_b 7.9242
_cell_length_c 7.9242
_cell_angle_alpha 90.00
_cell_angle_beta 90.00
_cell_angle_gamma 90.00
_symmetry_space_group_name_H-M 'F -4 3 m'
_symmetry_Int_Tables_number 216
_symmetry_space_group_name_Hall 'F -4 2 3'
loop_
_atom_site_label
_atom_site_type_symbol
_atom_site_fract_x
_atom_site_fract_y
_atom_site_fract_z
La1 La 0.0000 0.0000 0.0000
Ho1 Ho 0.2500 0.2500 0.7500
Th1 Th 0.0000 0.0000 0.5000
Tl1 Tl 0.2500 0.2500 0.2500
```

Summary:
Its total magnetization is 0.00 μB/f.u. The volume is 497.6 Å³ per cell. The calculation puts the total energy at -76.97 eV for the cell shown.

=====

no.,formation enthalpy at 0 K (eV/atom)
1,0.7164
2,0.2051
3,0.1123
4,0.0123